No. 1
# RuPt2 | Alexandria via LeMat-Bulk | PBE | relaxed
# Energy relative to the elements (kJ per mole of atoms): -0.73
# Calculated total energy (eV/atom): -7.1267
data_RuPt2
_symmetry_space_group_name_H-M 'I 4/m m m'
_symmetry_Int_Tables_number 139
_symmetry_space_group_name_Hall '-I 4 2'
_cell_length_a 2.761
_cell_length_b 2.761
_cell_length_c 11.851
_cell_angle_alpha 90.00
_cell_angle_beta 90.00
_cell_angle_gamma 90.00
loop_
_atom_site_label
_atom_site_type_symbol
_atom_site_fract_x
_atom_site_fract_y
_atom_site_fract_z
Ru1 Ru 0.000 0.000 0.000
Pt1 Pt 0.000 0.000 0.339

No. 2
# CeMg3Hg2 | Alexandria via LeMat-Bulk | PBE | relaxed
# Energy relative to the elements (kJ per mole of atoms): -20.98
# Calculated total energy (eV/atom): -2.1043
data_CeMg3Hg2
_symmetry_space_group_name_H-M 'C 1 2/m 1'
_symmetry_Int_Tables_number 12
_cell_length_a 16.844
_cell_length_b 4.760
_cell_length_c 7.920
_cell_angle_alpha 90.00
_cell_angle_beta 113.21
_cell_angle_gamma 90.00
loop_
_symmetry_equiv_pos_as_xyz
'x,y,z'
'-x,-y,-z'
'-x,y,-z'
'x,-y,z'
'x+1/2,y+1/2,z'
'-x+1/2,-y+1/2,-z'
'-x+1/2,y+1/2,-z'
'x+1/2,-y+1/2,z'
loop_
_atom_site_label
_atom_site_type_symbol
_atom_site_fract_x
_atom_site_fract_y
_atom_site_fract_z
Ce1 Ce 0.122 0.000 0.186
Mg1 Mg 0.064 0.000 0.700
Mg2 Mg 0.135 0.500 0.505
Mg3 Mg 0.193 0.500 0.921
Hg1 Hg 0.014 0.500 0.827
Hg2 Hg 0.232 0.000 0.681

No. 3
# Ce2ZnSb | Alexandria via LeMat-Bulk | PBE | relaxed
# ΔE_f (raw) (eV/atom): -0.4811
# Calculated total energy (eV/atom): -4.7971
data_Ce2ZnSb
_symmetry_space_group_name_H-M 'F m -3 m'
_symmetry_Int_Tables_number 225
_symmetry_space_group_name_Hall '-F 4 2 3'
_cell_length_a 7.507
_cell_length_b 7.507
_cell_length_c 7.507
_cell_angle_alpha 90.00
_cell_angle_beta 90.00
_cell_angle_gamma 90.00
loop_
_atom_site_label
_atom_site_type_symbol
_atom_site_fract_x
_atom_site_fract_y
_atom_site_fract_z
Ce1 Ce 0.250 0.250 0.250
Zn1 Zn 0.000 0.000 0.000
Sb1 Sb 0.000 0.000 0.500